# 1
The following is a DFT calculation (GGA-PBE) of Pr2Nd4Y3 after structural relaxation.

Cell lengths 11.5315, 5.1807, 10.9351 Å; angles 90.00, 108.22, 90.00 degrees
With the nearest neighbours (Å) after each atom.
Space group C2/m (No. 12)
Symmetry-distinct sites (fractional):
Pr 0.1671 0.0000 0.2236 [4 per cell]  5 Y 3.62-3.67, 7 Nd 3.65-3.67
Nd 0.0005 0.5000 0.3337 [4 per cell]  3 Nd 3.64-3.66, 6 Y 3.64-3.66, 3 Pr 3.65
Nd 0.1667 0.0000 0.8883 [4 per cell]  4 Y 3.65-3.66, 4 Pr 3.65-3.67, 4 Nd 3.66-3.67
Y 0.0000 0.5000 0.0000 [2 per cell]  8 Nd 3.65-3.66, 4 Pr 3.67
Y 0.1656 0.0000 0.5542 [4 per cell]  3 Pr 3.62-3.66, 3 Y 3.63-3.65, 6 Nd 3.64-3.66

Density of states at the Fermi level (states/eV per atom): 1.4262
Final energy (eV/atom): -5.32
Energy of formation from the pure elements (eV per atom): 0.0134
Mass density (g/cm³): 6.024



# 2
The following is a DFT calculation (GGA-PBE) of CdFeCu2 after structural relaxation.

Cell lengths 2.6800, 4.1467, 5.3071 Å; angles 90.00, 104.31, 90.00 degrees
With the nearest neighbours (Å) after each atom.
Space group Pm (No. 6)
Symmetry-distinct sites (fractional):
Cd 0.0000 0.0000 0.0000 [1 per cell]  7 Cu 2.61-2.88, 2 Cd 2.68
Fe 0.3432 0.5000 0.6829 [1 per cell]  7 Cu 2.65-2.83, 2 Fe 2.68, 4 Cd 2.96
Cu 0.6140 0.5000 0.2335 [1 per cell]  4 Cu 2.46-2.68, 2 Fe 2.66-2.68, 4 Cd 2.74-2.75
Cu 0.7540 0.0000 0.4926 [1 per cell]  4 Cu 2.46-2.68, 1 Cd 2.61, 4 Fe 2.65-2.66

Density of states at the Fermi level (states/eV per atom): 0.6867
Final energy (eV/atom): -4.14
Energy of formation from the pure elements (eV per atom): 0.2491
Mass density (g/cm³): 8.582



# 3
The following is a DFT calculation (GGA-PBE) of ZrRe2Se after structural relaxation.

Cell lengths 3.1010, 3.8814, 5.9217 Å; angles 90.00, 103.64, 90.00 degrees
With the nearest neighbours (Å) after each atom.
Space group Pm (No. 6)
Symmetry-distinct sites (fractional):
Zr 0.0000 0.0000 0.0000 [1 per cell]  4 Se 2.69-2.71, 3 Re 2.84-3.01
Re 0.2978 0.0000 0.4926 [1 per cell]  2 Re 2.56, 2 Se 2.69, 1 Zr 2.84
Re 0.6203 0.5000 0.3030 [1 per cell]  2 Re 2.56, 1 Se 2.80
Se 0.4203 0.5000 0.8160 [1 per cell]  3 Re 2.69-2.80, 4 Zr 2.69-2.71

Density of states at the Fermi level (states/eV per atom): 0.8401
Energy relative to the elements, uncorrected (eV/atom): -0.001
Final energy (eV/atom): -9.23
Mass density (g/cm³): 13.008



# 4
The following is a DFT calculation (GGA-PBE) of Li3Np2FeN6 after structural relaxation.

Cell lengths 5.3297, 9.8769, 5.2924 Å; angles 90.00, 105.53, 90.00 degrees
With the nearest neighbours (Å) after each atom.
Space group C2/m (No. 12)
Symmetry-distinct sites (fractional):
Li 0.0000 0.0000 0.0000 [2 per cell]  6 N 2.19-2.35
Li 0.0000 0.3660 0.0000 [4 per cell]  4 N 2.20-2.21
Np 0.0000 0.1650 0.5000 [4 per cell]  6 N 2.06-2.28
Fe 0.0000 0.5000 0.5000 [2 per cell]  6 N 2.05-2.11
N 0.2320 0.3439 0.7156 [8 per cell]  2 Np 2.06-2.28, 1 Fe 2.11, 1 Li 2.20
N 0.2339 0.0000 0.7167 [4 per cell]  1 Fe 2.05, 2 Np 2.18, 3 Li 2.19-2.21

Density of states at the Fermi level (states/eV per atom): 0.5266
Energy relative to the elements, uncorrected (eV/atom): -0.631
Final energy (eV/atom): -8.13
Mass density (g/cm³): 7.853



# 5
The following is a DFT calculation (GGA-PBE) of Th3Zn after structural relaxation.

Cell lengths 3.5674, 10.9773, 5.8588 Å; angles 90.00, 90.00, 90.00 degrees
With the nearest neighbours (Å) after each atom.
Space group Imm2 (No. 44)
Symmetry-distinct sites (fractional):
Th 0.0000 0.0000 0.0000 [2 per cell]  2 Zn 3.19, 8 Th 3.45-3.57
Th 0.0000 0.2245 0.5876 [4 per cell]  2 Zn 3.14, 5 Th 3.45-3.48
Zn 0.0000 0.5000 0.9521 [2 per cell]  6 Th 3.14-3.19

Density of states at the Fermi level (states/eV per atom): 1.1654
Final energy (eV/atom): -5.90
Energy of formation from the pure elements (eV per atom): -0.0136
Mass density (g/cm³): 11.023



# 6
The following is a DFT calculation (GGA-PBE) of La4OsRu after structural relaxation.

Cell lengths 8.5117, 8.5117, 8.5117 Å; angles 90.00, 90.00, 90.00 degrees
With the nearest neighbours (Å) after each atom.
Space group F-43m (No. 216)
Symmetry-distinct sites (fractional):
La 0.1247 0.1247 0.1247 [16 per cell]  6 La 3.00-3.02
Os 0.2500 0.2500 0.7500 [4 per cell]  12 La 3.53, 4 Ru 3.69
Ru 0.0000 0.0000 0.5000 [4 per cell]  12 La 3.53, 4 Os 3.69

Density of states at the Fermi level (states/eV per atom): 1.6517
Final energy (eV/atom): -5.60
Energy of formation from the pure elements (eV per atom): 1.1056
Mass density (g/cm³): 9.122



# 7
The following is a DFT calculation (GGA-PBE) of CaNiPb2 after structural relaxation.

Cell lengths 4.7159, 3.9153, 6.1635 Å; angles 90.00, 112.34, 90.00 degrees
With the nearest neighbours (Å) after each atom.
Space group Pm (No. 6)
Symmetry-distinct sites (fractional):
Ca 0.0000 0.0000 0.0000 [1 per cell]  4 Ni 3.11, 3 Pb 3.33-3.35
Ni 0.4524 0.5000 0.9039 [1 per cell]  3 Pb 2.65-2.66
Pb 0.2939 0.0000 0.5869 [1 per cell]  2 Ni 2.66
Pb 0.6843 0.5000 0.3686 [1 per cell]  1 Ni 2.65

Density of states at the Fermi level (states/eV per atom): 0.5372
Final energy (eV/atom): -3.88
Energy of formation from the pure elements (eV per atom): -0.0807
Mass density (g/cm³): 8.095



# 8
The following is a DFT calculation (GGA-PBE) of CrMoRh2 after structural relaxation.

Cell lengths 3.8406, 3.8406, 7.6955 Å; angles 90.00, 90.00, 90.00 degrees
With the nearest neighbours (Å) after each atom.
Space group I-4m2 (No. 119)
Symmetry-distinct sites (fractional):
Cr 0.0000 0.0000 0.0000 [2 per cell]  8 Rh 2.72, 4 Mo 2.72
Mo 0.0000 0.5000 0.7500 [2 per cell]  8 Rh 2.72, 4 Cr 2.72
Rh 0.0000 0.0000 0.5000 [2 per cell]  4 Cr 2.72, 4 Mo 2.72, 4 Rh 2.72
Rh 0.0000 0.5000 0.2500 [2 per cell]  4 Mo 2.72, 4 Cr 2.72, 4 Rh 2.72

Density of states at the Fermi level (states/eV per atom): 1.1602
Final energy (eV/atom): -8.83
Energy of formation from the pure elements (eV per atom): -0.0412
Mass density (g/cm³): 10.350



# 9
The following is a DFT calculation (GGA-PBE) of CrSi3H after structural relaxation.

Cell lengths 4.4157, 4.4157, 4.4157 Å; angles 90.00, 90.00, 90.00 degrees
With the nearest neighbours (Å) after each atom.
Space group Pm-3m (No. 221)
Symmetry-distinct sites (fractional):
Cr 0.0000 0.0000 0.0000 [1 per cell]  6 Si 2.21
Si 0.0000 0.0000 0.5000 [3 per cell]  2 Cr 2.21
H 0.5000 0.5000 0.5000 [1 per cell]  12 Si 3.12

Density of states at the Fermi level (states/eV per atom): 0.0616
Final energy (eV/atom): -5.22
Mass density (g/cm³): 2.647



# 10
The following is a DFT calculation (GGA-PBE) of Li4YZn2 after structural relaxation.

Cell lengths 3.7866, 16.9929, 4.2814 Å; angles 90.00, 90.00, 90.00 degrees
With the nearest neighbours (Å) after each atom.
Space group Cmmm (No. 65)
Symmetry-distinct sites (fractional):
Li 0.0000 0.1739 0.0000 [4 per cell]  2 Zn 2.72, 4 Li 2.86
Li 0.0000 0.3155 0.5000 [4 per cell]  2 Zn 2.65, 6 Li 2.86-2.92
Y 0.0000 0.5000 0.0000 [2 per cell]  8 Zn 3.13
Zn 0.0000 0.0752 0.5000 [4 per cell]  1 Zn 2.55, 4 Li 2.65-2.72

Density of states at the Fermi level (states/eV per atom): 0.5932
Final energy (eV/atom): -2.51
Energy of formation from the pure elements (eV per atom): -0.1246
Mass density (g/cm³): 2.984



# 11
The following is a DFT calculation (GGA-PBE) of CsSrErI6 after structural relaxation.

Cell lengths 8.2659, 8.2659, 16.8005 Å; angles 90.00, 90.00, 120.00 degrees
With the nearest neighbours (Å) after each atom.
Space group P-31c (No. 163)
Symmetry-distinct sites (fractional):
Cs 0.0000 0.0000 0.0000 [2 per cell]  6 I 3.92
Sr 0.3333 0.6667 0.2500 [2 per cell]  6 I 3.30
Er 0.3333 0.6667 0.7500 [2 per cell]  6 I 3.03
I 0.0249 0.3858 0.6432 [12 per cell]  1 Er 3.03, 1 Sr 3.30

Density of states at the Fermi level (states/eV per atom): 0.0000
Energy relative to the elements, uncorrected (eV/atom): -1.543
Final energy (eV/atom): -3.37
Mass density (g/cm³): 3.839



# 12
The following is a DFT calculation (GGA-PBE) of TaP2Pt after structural relaxation.

Cell lengths 6.1060, 8.0934, 2.8330 Å; angles 90.00, 117.01, 90.00 degrees
With the nearest neighbours (Å) after each atom.
Space group C2/m (No. 12)
Symmetry-distinct sites (fractional):
Ta 0.0000 0.0000 0.0000 [2 per cell]  4 P 2.54, 2 Ta 2.83
P 0.2500 0.2500 0.5000 [4 per cell]  2 Ta 2.54, 2 Pt 2.54, 2 P 2.83
Pt 0.0000 0.5000 0.0000 [2 per cell]  4 P 2.54, 2 Pt 2.83

Density of states at the Fermi level (states/eV per atom): 0.3506
Final energy (eV/atom): -7.25
Energy of formation from the pure elements (eV per atom): -0.0734
Mass density (g/cm³): 11.662